A plane-wave DFT calculation with PBE-GGA was carried out for an optimized crystal structure of NaZr2N. Values from VASP.

Values from the calculation:
- ΔE_f (raw) (meV/atom) = -119
- SG = No. 122
- calculated total energy (eV per atom) = -6.804

Cell and atoms, written as Quantum ESPRESSO input:
```
&SYSTEM
  ibrav = 0, nat = 8, ntyp = 3
/
ATOMIC_SPECIES
Zr 91.22 Zr.upf
N 14.01 N.upf
Na 22.99 Na.upf
CELL_PARAMETERS angstrom
6.608 0.000 0.000
0.000 6.608 0.000
3.304 3.304 4.210
ATOMIC_POSITIONS crystal
Zr 0.261 0.625 0.250
Zr 0.489 0.125 0.250
Zr 0.875 0.739 0.750
Zr 0.375 0.511 0.750
N 0.500 0.500 0.000
N 0.250 0.750 0.500
Na 0.000 0.000 0.000
Na 0.750 0.250 0.500
```


A plane-wave DFT calculation with PBE-GGA was carried out for an optimized crystal structure of SrYBi2O8. Values from VASP.

Values from the calculation:
- ΔE_f (raw) (meV/atom) = -1624
- SG = No. 82
- calculated total energy (eV per atom) = -6.255

Cell and atoms, written as Quantum ESPRESSO input:
```
&SYSTEM
  ibrav = 0, nat = 12, ntyp = 4
/
ATOMIC_SPECIES
Bi 208.98 Bi.upf
O 16.00 O.upf
Y 88.91 Y.upf
Sr 87.62 Sr.upf
CELL_PARAMETERS angstrom
5.550 0.000 0.000
0.000 5.550 0.000
-2.775 -2.775 5.680
ATOMIC_POSITIONS crystal
Bi 0.500 0.500 0.000
Bi 0.250 0.750 0.500
O 0.807 0.833 0.185
O 0.648 0.193 0.815
O 0.378 0.352 0.185
O 0.336 0.898 0.297
O 0.102 0.039 0.703
O 0.961 0.399 0.297
O 0.601 0.664 0.703
O 0.167 0.622 0.815
Y 0.000 0.000 0.000
Sr 0.750 0.250 0.500
```


A plane-wave DFT calculation with PBE-GGA was carried out for an optimized crystal structure of Rb2Tl2Ga. Values from VASP.

Values from the calculation:
- distance to the lowest polymorph of the same formula (meV/atom) = 0
- SG = No. 127
- calculated total energy (eV per atom) = -1.898

Cell and atoms, written as Quantum ESPRESSO input:
```
&SYSTEM
  ibrav = 0, nat = 10, ntyp = 3
/
ATOMIC_SPECIES
Tl 204.38 Tl.upf
Ga 69.72 Ga.upf
Rb 85.47 Rb.upf
CELL_PARAMETERS angstrom
-4.831 -0.527 -6.194
5.846 -3.053 -4.300
-1.687 -5.776 1.808
ATOMIC_POSITIONS crystal
Tl 0.857 0.643 0.000
Tl 0.143 0.357 0.000
Tl 0.357 0.857 0.000
Tl 0.643 0.143 0.000
Ga 0.500 0.500 0.000
Ga 0.000 0.000 0.000
Rb 0.679 0.821 0.500
Rb 0.321 0.179 0.500
Rb 0.179 0.679 0.500
Rb 0.821 0.321 0.500
```


A plane-wave DFT calculation with PBE-GGA was carried out for an optimized crystal structure of ErLuCdPt. Values from VASP.

Values from the calculation:
- SG = No. 216
- calculated total energy (eV per atom) = -4.772

Cell and atoms, written as Quantum ESPRESSO input:
```
&SYSTEM
  ibrav = 0, nat = 4, ntyp = 4
/
ATOMIC_SPECIES
Cd 112.41 Cd.upf
Er 167.26 Er.upf
Lu 174.97 Lu.upf
Pt 195.08 Pt.upf
CELL_PARAMETERS angstrom
-2.362 -2.354 3.756
-2.334 -4.366 -0.846
1.887 -4.261 1.874
ATOMIC_POSITIONS crystal
Cd 0.250 0.250 0.250
Er 0.000 0.000 0.000
Lu 0.500 0.500 0.500
Pt 0.750 0.750 0.750
```


A plane-wave DFT calculation with PBE-GGA was carried out for an optimized crystal structure of Co2CN. Values from VASP.

Values from the calculation:
- distance to the lowest polymorph of the same formula (meV/atom) = 0
- ΔE_f (raw) (meV/atom) = 346
- SG = No. 122
- calculated total energy (eV per atom) = -7.594

Cell and atoms, written as Quantum ESPRESSO input:
```
&SYSTEM
  ibrav = 0, nat = 8, ntyp = 3
/
ATOMIC_SPECIES
Co 58.93 Co.upf
C 12.01 C.upf
N 14.01 N.upf
CELL_PARAMETERS angstrom
-3.895 1.279 -1.169
-1.685 -3.466 1.823
-3.194 1.033 3.997
ATOMIC_POSITIONS crystal
Co 0.627 0.125 0.250
Co 0.875 0.877 0.750
Co 0.123 0.625 0.250
Co 0.375 0.373 0.750
C 0.500 0.500 0.000
C 0.250 0.750 0.500
N 0.000 0.000 0.000
N 0.750 0.250 0.500
```


A plane-wave DFT calculation with PBE-GGA was carried out for an optimized crystal structure of Tm3UPa2P6. Values from VASP.

Values from the calculation:
- SG = No. 12
- calculated total energy (eV per atom) = -7.737

Cell and atoms, written as Quantum ESPRESSO input:
```
&SYSTEM
  ibrav = 0, nat = 12, ntyp = 4
/
ATOMIC_SPECIES
P 30.97 P.upf
Tm 168.93 Tm.upf
U 238.03 U.upf
Pa 231.04 Pa.upf
CELL_PARAMETERS angstrom
-1.363 -3.337 -1.603
5.088 -4.179 4.372
-6.322 2.136 5.784
ATOMIC_POSITIONS crystal
P 0.333 0.417 0.666
P 0.667 0.583 0.334
P 0.666 0.082 0.333
P 0.001 0.751 0.002
P 0.999 0.249 0.998
P 0.334 0.918 0.667
Tm 0.833 0.167 0.665
Tm 0.167 0.833 0.335
Tm 0.500 0.500 0.000
U 0.500 0.000 0.000
Pa 0.835 0.669 0.669
Pa 0.165 0.331 0.331
```


A plane-wave DFT calculation with PBE-GGA was carried out for an optimized crystal structure of LiCaPd. Values from VASP.

Values from the calculation:
- distance to the lowest polymorph of the same formula (meV/atom) = 0
- SG = No. 74
- calculated total energy (eV per atom) = -3.506

Cell and atoms, written as Quantum ESPRESSO input:
```
&SYSTEM
  ibrav = 0, nat = 6, ntyp = 3
/
ATOMIC_SPECIES
Ca 40.08 Ca.upf
Li 6.94 Li.upf
Pd 106.42 Pd.upf
CELL_PARAMETERS angstrom
-4.632 -2.064 1.462
-1.631 -4.735 -2.326
0.008 -4.453 3.266
ATOMIC_POSITIONS crystal
Ca 0.872 0.378 0.378
Ca 0.128 0.622 0.622
Li 0.500 0.000 0.000
Li 0.000 0.000 0.000
Pd 0.500 0.500 0.000
Pd 0.500 0.000 0.500
```


A plane-wave DFT calculation with PBE-GGA was carried out for an optimized crystal structure of Pm2Th2Se7. Values from VASP.

Values from the calculation:
- distance to the lowest polymorph of the same formula (meV/atom) = 0
- ΔE_f (raw) (meV/atom) = -1786
- SG = No. 44
- calculated total energy (eV per atom) = -6.216

Cell and atoms, written as Quantum ESPRESSO input:
```
&SYSTEM
  ibrav = 0, nat = 11, ntyp = 3
/
ATOMIC_SPECIES
Pm 145.00 Pm.upf
Se 78.96 Se.upf
Th 232.04 Th.upf
CELL_PARAMETERS angstrom
4.153 0.000 0.891
1.217 7.792 4.451
0.230 -0.087 9.052
ATOMIC_POSITIONS crystal
Pm 0.739 0.842 0.679
Pm 0.261 0.321 0.158
Se 0.134 0.150 0.582
Se 0.185 0.700 0.929
Se 0.815 0.071 0.300
Se 0.866 0.418 0.850
Se 0.500 0.012 0.988
Se 0.609 0.501 0.281
Se 0.391 0.719 0.499
Th 0.000 0.788 0.212
Th 0.500 0.332 0.668
```


A plane-wave DFT calculation with PBE-GGA was carried out for an optimized crystal structure of LiZr2Te2. Values from VASP.

Values from the calculation:
- distance to the lowest polymorph of the same formula (meV/atom) = 0
- ΔE_f (raw) (meV/atom) = -595
- SG = No. 127
- calculated total energy (eV per atom) = -5.654

Cell and atoms, written as Quantum ESPRESSO input:
```
&SYSTEM
  ibrav = 0, nat = 10, ntyp = 3
/
ATOMIC_SPECIES
Li 6.94 Li.upf
Te 127.60 Te.upf
Zr 91.22 Zr.upf
CELL_PARAMETERS angstrom
7.884 0.000 0.000
0.000 7.884 0.000
0.000 0.000 3.729
ATOMIC_POSITIONS crystal
Li 0.500 0.500 0.000
Li 0.000 0.000 0.000
Te 0.153 0.347 0.000
Te 0.847 0.653 0.000
Te 0.347 0.847 0.000
Te 0.653 0.153 0.000
Zr 0.143 0.643 0.500
Zr 0.643 0.857 0.500
Zr 0.857 0.357 0.500
Zr 0.357 0.143 0.500
```


A plane-wave DFT calculation with PBE-GGA was carried out for an optimized crystal structure of TiAlTcNi. Values from VASP.

Values from the calculation:
- SG = No. 216
- calculated total energy (eV per atom) = -7.492

Cell and atoms, written as Quantum ESPRESSO input:
```
&SYSTEM
  ibrav = 0, nat = 4, ntyp = 4
/
ATOMIC_SPECIES
Ti 47.87 Ti.upf
Al 26.98 Al.upf
Ni 58.69 Ni.upf
Tc 98.00 Tc.upf
CELL_PARAMETERS angstrom
-2.914 -2.930 -1.052
-1.353 -2.804 2.915
-3.963 0.281 1.551
ATOMIC_POSITIONS crystal
Ti 0.250 0.250 0.250
Al 0.750 0.750 0.750
Ni 0.500 0.500 0.500
Tc 0.000 0.000 0.000
```


A plane-wave DFT calculation with PBE-GGA was carried out for an optimized crystal structure of Hf2TaMoH. Values from VASP.

Values from the calculation:
- SG = No. 123
- calculated total energy (eV per atom) = -9.201

Cell and atoms, written as Quantum ESPRESSO input:
```
&SYSTEM
  ibrav = 0, nat = 5, ntyp = 4
/
ATOMIC_SPECIES
Ta 180.95 Ta.upf
Mo 95.94 Mo.upf
Hf 178.49 Hf.upf
H 1.01 H.upf
CELL_PARAMETERS angstrom
-2.319 -3.496 2.132
2.499 0.733 3.920
-2.466 2.329 1.136
ATOMIC_POSITIONS crystal
Ta 0.500 0.500 0.500
Mo 0.000 0.000 0.500
Hf 0.500 0.000 0.000
Hf 0.000 0.500 0.000
H 0.000 0.000 0.000
```


A plane-wave DFT calculation with PBE-GGA was carried out for an optimized crystal structure of K2BaOsPb. Values from VASP.

Values from the calculation:
- SG = No. 123
- calculated total energy (eV per atom) = -2.862

Cell and atoms, written as Quantum ESPRESSO input:
```
&SYSTEM
  ibrav = 0, nat = 5, ntyp = 4
/
ATOMIC_SPECIES
Ba 137.33 Ba.upf
K 39.10 K.upf
Os 190.23 Os.upf
Pb 207.20 Pb.upf
CELL_PARAMETERS angstrom
-3.256 -0.220 -5.024
1.650 -5.701 -0.820
-4.537 -1.747 3.017
ATOMIC_POSITIONS crystal
Ba 0.000 0.000 0.500
K 0.000 0.500 0.000
K 0.500 0.000 0.000
Os 0.000 0.000 0.000
Pb 0.500 0.500 0.500
```


no.,DOS at the Fermi energy (states/eV/f.u.),total moment (μB per cell)
1,3.7,0.0
2,8.3,1.1
3,3.7,0.0
4,2.2,0.0
5,2.8,0.0
6,12.6,2.5
7,1.1,0.0
8,0.0,0.0
9,4.4,0.0
10,1.4,0.0
11,6.6,0.0
12,6.7,2.3